Record 1
The following is a DFT calculation (PBE-GGA) of an optimized crystal structure of ErAg3Sn3.

Cell: 7.5395 7.5395 7.5395 Å, 90.00 90.00 90.00°
Space group Pm-3n (No. 223)
Asymmetric unit:
Er 0.0000 0.0000 0.0000
Ag 0.0000 0.2500 0.5000
Sn 0.0000 0.5000 0.2500

## Properties
formation enthalpy at 0 K	445	meV per atom

***

Record 2
The following is a DFT calculation (PBE-GGA) of an optimized crystal structure of ErAg4Sn.

Cell: 7.9405 7.9405 7.9405 Å, 90.00 90.00 90.00°
Space group F-43m (No. 216)
Asymmetric unit:
Er 0.0000 0.0000 0.0000
Ag 0.1253 0.1253 0.3747
Sn 0.2500 0.2500 0.7500

## Properties
formation enthalpy at 0 K	-157	meV per atom
ΔE to the lowest computed polymorph	28	meV/atom

***

Record 3
The following is a DFT calculation (PBE-GGA) of an optimized crystal structure of Er7Ag2Sn2.

Cell: 8.2143 11.0993 7.1013 Å, 90.00 90.00 90.00°
Space group Cmmm (No. 65)
Asymmetric unit:
Er 0.0000 0.0000 0.0000
Er 0.0000 0.5000 0.2483
Er 0.2500 0.2500 0.2668
Ag 0.0000 0.2865 0.0000
Sn 0.1801 0.0000 0.5000

## Properties
formation enthalpy at 0 K	-104	meV per atom

***

Record 4
The following is a DFT calculation (PBE-GGA) of an optimized crystal structure of Er6Ag5Sn.

Cell: 5.1270 15.4135 7.2684 Å, 90.00 90.00 90.00°
Space group Cmmm (No. 65)
Asymmetric unit:
Er 0.0000 0.0000 0.2441
Er 0.0000 0.3309 0.2452
Ag 0.0000 0.1655 0.0000
Ag 0.0000 0.1680 0.5000
Ag 0.0000 0.5000 0.0000
Sn 0.0000 0.5000 0.5000

## Properties
formation enthalpy at 0 K	-393	meV per atom

***

Record 5
The following is a DFT calculation (PBE-GGA) of an optimized crystal structure of Er8AgSn2.

Cell: 19.1098 5.0003 6.6988 Å, 90.00 104.12 90.00°
Space group C2/m (No. 12)
Asymmetric unit:
Er 0.0206 0.0000 0.2727
Er 0.0925 0.5000 0.9739
Er 0.1525 0.5000 0.4974
Er 0.2147 0.0000 0.8189
Ag 0.0000 0.5000 0.5000
Sn 0.1827 0.0000 0.2584

## Properties
formation enthalpy at 0 K	-292	meV per atom

***

Record 6
The following is a DFT calculation (PBE-GGA) of an optimized crystal structure of Er2AgSn4.

Cell: 4.4501 4.4501 9.1756 Å, 90.00 90.00 90.00°
Space group P-4m2 (No. 115)
Asymmetric unit:
Er 0.0000 0.5000 0.2269
Ag 0.5000 0.5000 0.0000
Sn 0.0000 0.0000 0.5000
Sn 0.0000 0.5000 0.8139
Sn 0.5000 0.5000 0.5000

## Properties
formation enthalpy at 0 K	-382	meV per atom

***

Record 7
The following is a DFT calculation (PBE-GGA) of an optimized crystal structure of ErAg2Sn3.

Cell: 6.2185 15.5795 5.9258 Å, 90.00 90.00 90.00°
Space group Cmcm (No. 63)
Asymmetric unit:
Er 0.0000 0.1597 0.2500
Ag 0.2412 0.0000 0.0000
Sn 0.0000 0.3612 0.7500
Sn 0.2426 0.1592 0.7500

## Properties
formation enthalpy at 0 K	-197	meV per atom

***

Record 8
The following is a DFT calculation (PBE-GGA) of an optimized crystal structure of Er2AgSn.

Cell: 4.9800 4.9800 3.9999 Å, 90.00 90.00 90.00°
Space group P4/mmm (No. 123)
Asymmetric unit:
Er 0.0000 0.5000 0.0000
Ag 0.0000 0.0000 0.5000
Sn 0.5000 0.5000 0.5000

## Properties
formation enthalpy at 0 K	-488	meV per atom

***

Record 9
The following is a DFT calculation (PBE-GGA) of an optimized crystal structure of Sr2ErAg3Sn4.

Cell: 4.6253 4.6253 12.8652 Å, 90.00 90.00 90.00°
Space group P-4m2 (No. 115)
Asymmetric unit:
Sr 0.0000 0.5000 0.2403
Er 0.0000 0.0000 0.5000
Ag 0.0000 0.5000 0.8624
Ag 0.5000 0.5000 0.5000
Sn 0.0000 0.0000 0.0000
Sn 0.0000 0.5000 0.6489
Sn 0.5000 0.5000 0.0000

## Properties
formation enthalpy at 0 K	-431	meV per atom

***

Record 10
The following is a DFT calculation (PBE-GGA) of an optimized crystal structure of ErAgSnTe3.

Cell: 8.8488 4.3276 9.8384 Å, 90.00 104.48 90.00°
Space group P2_1/m (No. 11)
Asymmetric unit:
Er 0.1781 0.2500 0.1746
Ag 0.4149 0.7500 0.4151
Sn 0.3071 0.7500 0.7561
Te 0.0738 0.2500 0.8485
Te 0.2374 0.2500 0.4940
Te 0.4069 0.7500 0.1262

## Properties
electronic total energy	-0.1517	hartree per atom

***

Record 11
The following is a DFT calculation (PBE-GGA) of an optimized crystal structure of ErAg2SnTe4.

Cell: 7.3918 4.3470 7.5887 Å, 90.00 109.64 90.00°
Space group P2/m (No. 10)
Asymmetric unit:
Er 0.0000 0.0000 0.0000
Ag 0.5000 0.0000 0.5000
Ag 0.5000 0.5000 0.0000
Sn 0.0000 0.5000 0.5000
Te 0.2547 0.5000 0.2501
Te 0.2607 0.0000 0.7545

## Properties
electronic total energy	-0.1409	hartree per atom

***

Record 12
The following is a DFT calculation (PBE-GGA) of an optimized crystal structure of Er2ThAg2Sn2.

Cell: 4.8865 4.8865 25.7254 Å, 90.00 90.00 120.00°
Space group R-3m (No. 166, hexagonal axes)
Asymmetric unit:
Er 0.0000 0.0000 0.1332
Th 0.0000 0.0000 0.0000
Ag 0.0000 0.0000 0.4386
Sn 0.0000 0.0000 0.2638

## Properties
formation enthalpy at 0 K	-342	meV per atom